1.
Here is a relaxed PrInPt crystal from Alexandria. Energies are from PBE.

extended XYZ file:
```
18
Lattice="13.825 0.000 0.000 0.000 3.993 0.000 0.000 0.000 7.858" Properties=species:S:1:pos:R:3 pbc="T T T"
Pr 0.643 0.000 1.811
Pr 3.456 0.000 6.688
Pr 6.270 0.000 1.811
Pr 7.555 0.000 6.047
Pr 10.369 0.000 1.170
Pr 13.183 0.000 6.047
In 1.648 1.997 4.483
In 3.456 1.997 1.560
In 5.265 1.997 4.483
In 8.561 1.997 3.375
In 10.369 1.997 6.298
In 12.177 1.997 3.375
Pt 1.352 1.997 7.384
Pt 3.456 0.000 3.546
Pt 5.561 1.997 7.384
Pt 8.265 1.997 0.474
Pt 10.369 0.000 4.312
Pt 12.474 1.997 0.474
```

## Properties
**Formation energy**: -911 meV per atom


2.
Here is a relaxed Pu4GeH2 crystal from Alexandria. Energies are from PBE.

extended XYZ file:
```
14
Lattice="0.000 7.549 4.445 3.857 0.000 4.445 3.857 7.549 0.000" Properties=species:S:1:pos:R:3 pbc="T T T"
Pu 4.583 4.670 3.106
Pu 4.129 1.580 4.445
Pu 2.200 2.194 2.222
Pu 1.656 5.354 2.222
Pu 5.058 8.445 5.328
Pu 3.130 10.427 3.106
Pu 2.655 6.653 5.328
Pu 3.584 13.517 4.445
Ge 3.857 7.549 2.515
Ge 5.785 11.323 4.737
H 4.983 6.236 4.712
H 6.911 12.635 6.934
H 2.731 8.861 4.712
H 4.659 10.011 6.934
```

## Properties
**DFT total energy**: -9.953 eV per atom


3.
Here is a relaxed AcNd14Dy crystal from Alexandria. Energies are from PBE.

extended XYZ file:
```
16
Lattice="11.987 0.000 0.000 0.000 3.715 6.444 0.000 -3.715 6.444" Properties=species:S:1:pos:R:3 pbc="T T T"
Ac 0.000 0.000 0.000
Nd 0.000 -1.842 9.678
Nd 0.000 1.842 9.678
Nd 2.969 0.000 4.307
Nd 3.010 -1.846 7.536
Nd 3.010 1.846 7.536
Nd 3.039 0.000 10.742
Nd 5.994 0.000 0.016
Nd 5.994 -1.852 3.231
Nd 5.994 1.852 3.231
Nd 5.994 0.000 6.448
Nd 8.948 0.000 10.742
Nd 8.977 -1.846 7.536
Nd 8.977 1.846 7.536
Nd 9.018 0.000 4.307
Dy 0.000 0.000 6.468
```

## Properties
**Formation energy**: 38 meV per atom


4.
Here is a relaxed HfTiSbPd2 crystal from Alexandria. Energies are from PBE.

extended XYZ file:
```
5
Lattice="4.642 0.000 0.000 0.000 4.642 0.000 0.000 0.000 5.046" Properties=species:S:1:pos:R:3 pbc="T T T"
Hf 0.000 0.000 0.000
Ti 2.321 2.321 2.523
Sb 2.321 2.321 0.000
Pd 0.000 2.321 2.523
Pd 2.321 0.000 2.523
```

## Properties
**Formation energy (no corrections)**: 0.3324 eV per atom


5.
Here is a relaxed PmFe12C6 crystal from Alexandria. Energies are from PBE.

extended XYZ file:
```
19
Lattice="4.588 2.649 2.484 -4.588 2.649 2.484 0.000 -5.297 2.484" Properties=species:S:1:pos:R:3 pbc="T T T"
Pm 0.000 0.000 0.000
Fe -1.674 -2.899 3.725
Fe -3.347 0.000 3.725
Fe -1.245 -0.719 2.745
Fe 1.245 -0.719 2.745
Fe 0.000 1.437 2.745
Fe 1.674 -2.899 3.725
Fe -1.674 2.899 3.725
Fe 0.000 -1.437 4.706
Fe -1.245 0.719 4.706
Fe 1.245 0.719 4.706
Fe 3.347 0.000 3.725
Fe 1.674 2.899 3.725
C 0.000 -2.315 2.799
C -2.004 1.157 2.799
C -2.004 -1.157 4.652
C 2.004 1.157 2.799
C 2.004 -1.157 4.652
C 0.000 2.315 4.652
```

## Properties
**Formation energy**: 20 meV per atom


6.
Here is a relaxed CaMg2Ag crystal from Alexandria. Energies are from PBE.

extended XYZ file:
```
4
Lattice="3.592 0.000 0.000 0.000 4.867 0.000 -1.341 0.000 5.783" Properties=species:S:1:pos:R:3 pbc="T T T"
Ca 0.000 0.000 0.000
Mg 0.303 2.434 4.159
Mg 1.947 2.434 1.624
Ag 1.125 0.000 2.892
```

## Properties
**Formation energy**: -84 meV per atom


7.
Here is a relaxed Ti2PdI crystal from Alexandria. Energies are from PBE.

extended XYZ file:
```
8
Lattice="-3.645 3.645 2.941 3.645 -3.645 2.941 3.645 3.645 -2.941" Properties=species:S:1:pos:R:3 pbc="T T T"
Ti 1.823 1.723 -0.735
Ti 1.922 -1.823 3.676
Ti 1.823 1.922 2.206
Ti 1.723 5.468 0.735
Pd 0.000 0.000 0.000
Pd 0.000 3.645 1.471
I 3.645 0.000 1.471
I 0.000 0.000 2.941
```

## Properties
**Formation energy (no corrections)**: 0.1691 eV per atom


8.
Here is a relaxed ScGa3Ir crystal from Alexandria. Energies are from PBE.

extended XYZ file:
```
5
Lattice="4.756 0.000 0.000 0.000 4.756 0.000 0.000 0.000 4.756" Properties=species:S:1:pos:R:3 pbc="T T T"
Sc 0.000 0.000 0.000
Ga 0.000 2.378 2.378
Ga 2.378 0.000 2.378
Ga 2.378 2.378 0.000
Ir 2.378 2.378 2.378
```

## Properties
**Formation energy**: -69 meV per atom


The Fermi-level density of states results, record by record, are as follows: 0.66; 3.57; 1.84; 0.63; 0.75; 0.53; 1.03; 1.61 states/eV/atom.
The magnetization results, record by record, are as follows: 0.00; 0.41; 0.00; 0.00; 0.00; 0.00; 0.00; 0.00 Bohr magnetons per cell.